[1]
Computed, not measured: a relaxed structure of InAs2HO6 at the PBE level of DFT.

Cell: 11.8119 7.9590 5.2759 Å, 90.00 113.20 90.00°
With the nearest neighbours (Å) after each atom.
Space group C2/c (No. 15)
Inequivalent atoms, fractional coordinates:
In 0.0000 0.1383 0.2500  6 O 2.15-2.30
As 0.2204 0.3830 0.1385  4 O 1.80-1.86
H 0.0000 0.2988 0.7500  2 O 1.22
O 0.0603 0.3039 0.9985  1 H 1.22
O 0.1190 0.0628 0.6606  1 As 1.82
O 0.1842 0.4241 0.4455  2 As 1.80-1.86

Properties
crystal system = monoclinic
calculated volume = 11.397 Å³/atom
energy = -5.54 eV per atom
spin magnetization = 0.00 μB per cell



[2]
Computed, not measured: a relaxed structure of InAs2HSe at the PBE level of DFT.

Cell: 5.3233 5.3233 5.3841 Å, 90.00 90.00 90.00°
With the nearest neighbours (Å) after each atom.
Space group P4/mmm (No. 123)
Inequivalent atoms, fractional coordinates:
In 0.0000 0.0000 0.0000  4 As 2.66, 2 Se 2.69
As 0.0000 0.5000 0.0000  2 In 2.66
H 0.5000 0.5000 0.5000  4 Se 3.76, 8 As 3.79
Se 0.0000 0.0000 0.5000  2 In 2.69

Properties
energy above the lowest structure with this stoichiometry = 815 meV per atom
D(E_F) = 4.398 states/eV per cell
crystal system = tetragonal
calculated volume = 30.514 Å³/atom
spin magnetization = 1.95 μB per cell



- Number 1 is which compound?
  InAs2HO6